This record from Alexandria via LeMat-Bulk describes a geometry-optimized CrO2 structure. The functional is PBE+U.

Structure (POSCAR):
```
CrO2
1.0
1.4302 -2.6108 0.0000
1.4302 2.6108 0.0000
0.0000 0.0000 10.7608
Cr O
2 4
direct
0.0000 0.0000 0.5000 Cr
0.0000 0.0000 0.0000 Cr
0.6648 0.3352 0.5892 O
0.6648 0.3352 0.9108 O
0.3352 0.6648 0.4108 O
0.3352 0.6648 0.0892 O
```

Properties
Total magnetization   4.0 μB/cell
Volume   40.2 Å³/f.u.
E   -7.237 eV/atom